Material: TeIr3F
Method: DFT, PBE
State: optimized geometry

Calculated values
**Formation energy without anion corrections**: 1778 meV/atom
**Excess energy over the best structure of this formula in the dataset**: 514 meV/atom
**Total magnetization**: 0.37 μB per atom

Unit cell a=4.903 b=4.903 c=4.903 alpha=90.00 beta=90.00 gamma=90.00
Fractional coordinates of all 5 atoms:
1 Ir 0.000 0.000 0.500
2 F 0.500 0.500 0.500
3 Ir 0.000 0.500 0.000
4 Ir 0.500 0.000 0.000
5 Te 0.000 0.000 0.000

=====

Material: TeIrF3
Method: DFT, PBE
State: optimized geometry

Calculated values
**Formation energy without anion corrections**: 63 meV/atom
**Excess energy over the best structure of this formula in the dataset**: 374 meV/atom
**Total magnetization**: 0.49 μB per atom

Unit cell a=4.531 b=4.531 c=4.531 alpha=90.00 beta=90.00 gamma=90.00
Fractional coordinates of all 5 atoms:
1 Te 0.000 0.000 0.000
2 F 0.000 0.000 0.500
3 Ir 0.500 0.500 0.500
4 F 0.000 0.500 0.000
5 F 0.500 0.000 0.000

=====

Material: TeIrF2
Method: DFT, PBE
State: optimized geometry

Calculated values
**Formation energy without anion corrections**: 134 meV/atom
**Excess energy over the best structure of this formula in the dataset**: 671 meV/atom
**Total magnetization**: 0.29 μB per atom

Unit cell a=4.374 b=4.374 c=4.374 alpha=60.00 beta=60.00 gamma=60.00
Fractional coordinates of all 4 atoms:
1 Ir 0.500 0.500 0.500
2 F 0.250 0.250 0.250
3 Te 0.000 0.000 0.000
4 F 0.750 0.750 0.750

=====

Material: TeIrF3
Method: DFT, PBE
State: optimized geometry

Calculated values
**Formation energy without anion corrections**: -311 meV/atom
**Excess energy over the best structure of this formula in the dataset**: 0 meV/atom
**Total magnetization**: 0.40 μB per atom

Unit cell a=4.334 b=4.334 c=4.334 alpha=90.00 beta=90.00 gamma=90.00
Fractional coordinates of all 5 atoms:
1 F 0.500 0.000 0.000
2 Te 0.500 0.500 0.500
3 Ir 0.000 0.000 0.000
4 F 0.000 0.500 0.000
5 F 0.000 0.000 0.500